Density functional theory data (PBE) for a relaxed structure of BeGaSbI2.

The structure in CIF format:
```
data_BeGaSbI2
_space_group_name_H-M_alt 'P 4/m m m'
_space_group_IT_number 123
_space_group_name_Hall '-P 4 2'
_cell_length_a 6.0885
_cell_length_b 6.0885
_cell_length_c 5.8089
_cell_angle_alpha 90.00
_cell_angle_beta 90.00
_cell_angle_gamma 90.00
loop_
_atom_site_label
_atom_site_type_symbol
_atom_site_fract_x
_atom_site_fract_y
_atom_site_fract_z
Be1 Be 0.0000 0.0000 0.0000
Ga1 Ga 0.5000 0.5000 0.0000
Sb1 Sb 0.5000 0.5000 0.5000
I1 I 0.0000 0.5000 0.5000
```

Summary:
The calculation puts the total moment at 0.00 μB/f.u. As for the density of states at the Fermi level: 0.332 states/eV per atom. Its uncorrected formation energy is 711 meV per atom. The total energy comes out at -10.419 eV/f.u. The value obtained for the distance to the lowest polymorph of the same formula is 466.5 meV/atom.